Entry from Alexandria via LeMat-Bulk: a geometry-optimized TeI4 structure (PBE).

a b c (Å): 8.3869 8.3869 7.5785
angles (deg): 90.55 90.55 65.91
Fractional positions:
Te (0.1433, 0.8567, 0.7500)
Te (0.8567, 0.1433, 0.2500)
I (0.0100, 0.2386, 0.9328)
I (0.2298, 0.5251, 0.6000)
I (0.2386, 0.0100, 0.4328)
I (0.4749, 0.7702, 0.9000)
I (0.5251, 0.2298, 0.1000)
I (0.7614, 0.9900, 0.5672)
I (0.7702, 0.4749, 0.4000)
I (0.9900, 0.7614, 0.0672)

Calculated values
total magnetic moment = 0.00 Bohr magnetons per cell
distance to the lowest polymorph of the same formula = 7 meV per atom
symmetry = C2/c, No. 15
calculated volume = 48.66 A^3/atom
uncorrected formation energy = -0.097 eV per atom

***

Entry from Alexandria via LeMat-Bulk: a geometry-optimized TeI structure (PBE).

a b c (Å): 7.1942 7.8129 8.8755
angles (deg): 72.50 67.66 76.61
Fractional positions:
Te (0.0000, 0.0000, 0.0000)
Te (0.0722, 0.5745, 0.0826)
Te (0.3292, 0.0324, 0.7191)
Te (0.8433, 0.4169, 0.9737)
I (0.2264, 0.5622, 0.7084)
I (0.5316, 0.2986, 0.2783)
I (0.6410, 0.0203, 0.8421)
I (0.8342, 0.5758, 0.4152)

Calculated values
total magnetic moment = 0.00 Bohr magnetons per cell
distance to the lowest polymorph of the same formula = 52 meV per atom
symmetry = P1, No. 1
calculated volume = 54.52 A^3/atom
uncorrected formation energy = -0.020 eV per atom

***

Entry from Alexandria via LeMat-Bulk: a geometry-optimized TeI structure (PBE).

a b c (Å): 8.2370 8.2370 5.4253
angles (deg): 93.71 93.71 29.89
Fractional positions:
Te (0.0000, 0.0000, 0.0000)
Te (0.5815, 0.5815, 0.3051)
I (0.1703, 0.1703, 0.6609)
I (0.8442, 0.8442, 0.2058)

Calculated values
total magnetic moment = 0.00 Bohr magnetons per cell
distance to the lowest polymorph of the same formula = 18 meV per atom
symmetry = Cm, No. 8
calculated volume = 45.75 A^3/atom
uncorrected formation energy = -0.054 eV per atom

***

Entry from Alexandria via LeMat-Bulk: a geometry-optimized TeI structure (PBE).

a b c (Å): 7.3346 7.4135 8.2750
angles (deg): 106.64 103.94 97.31
Fractional positions:
Te (0.0000, 0.0000, 0.0000)
Te (0.0786, 0.4544, 0.1072)
Te (0.3273, 0.2571, 0.9774)
Te (0.8738, 0.5601, 0.8132)
I (0.1275, 0.4941, 0.6103)
I (0.2529, 0.9682, 0.3241)
I (0.6504, 0.6326, 0.0943)
I (0.6979, 0.9597, 0.6746)

Calculated values
total magnetic moment = 0.00 Bohr magnetons per cell
distance to the lowest polymorph of the same formula = 44 meV per atom
symmetry = P1, No. 1
calculated volume = 51.12 A^3/atom
uncorrected formation energy = -0.028 eV per atom

***

Q: Among the records above, which one has the highest uncorrected formation energy?
A: number 2

***

Q: Which value of uncorrected formation energy does entry 4 give?
A: -0.028 eV per atom

***

Q: Number 2 is which compound?
A: TeI